# 1
Compound: Pm2HAu
Source: Alexandria via LeMat-Bulk
Functional: PBE
Structure: relaxed

- Offset from the most stable computed form: 175 meV/atom

Structure (POSCAR):
```
Pm2HAu
1.0
3.410 0.000 0.000
0.000 3.410 0.000
0.000 0.000 7.286
Pm H Au
2 1 1
Cartesian
0.000 0.000 1.666 Pm
0.000 0.000 5.620 Pm
1.705 1.705 0.000 H
1.705 1.705 3.643 Au
```

=====

# 2
Compound: PmHAu
Source: Alexandria via LeMat-Bulk
Functional: PBE
Structure: relaxed

- Offset from the most stable computed form: 223 meV/atom

Structure (POSCAR):
```
PmHAu
1.0
3.944 0.000 0.000
-1.972 3.416 0.000
0.000 0.000 4.293
Pm H Au
1 1 1
Cartesian
0.000 0.000 0.000 Pm
0.000 2.277 0.006 H
1.972 1.139 2.147 Au
```

=====

# 3
Compound: PmH2Au
Source: Alexandria via LeMat-Bulk
Functional: PBE
Structure: relaxed

- Offset from the most stable computed form: 148 meV/atom

Structure (POSCAR):
```
PmH2Au
1.0
6.051 0.000 0.000
0.000 6.051 0.000
0.000 0.000 6.051
Pm H Au
4 8 4
Cartesian
0.000 0.000 0.000 Pm
0.000 3.025 3.025 Pm
3.025 0.000 3.025 Pm
3.025 3.025 0.000 Pm
1.513 1.513 1.513 H
1.513 1.513 4.538 H
1.513 4.538 1.513 H
1.513 4.538 4.538 H
4.538 1.513 1.513 H
4.538 1.513 4.538 H
4.538 4.538 1.513 H
4.538 4.538 4.538 H
0.000 0.000 3.025 Au
0.000 3.025 0.000 Au
3.025 0.000 0.000 Au
3.025 3.025 3.025 Au
```

=====

# 4
Compound: PmHAu
Source: Alexandria via LeMat-Bulk
Functional: PBE
Structure: relaxed

- Offset from the most stable computed form: 163 meV/atom

Structure (POSCAR):
```
PmHAu
1.0
1.995 1.152 8.552
-1.995 1.152 8.552
0.000 -2.303 8.552
Pm H Au
2 2 2
Cartesian
0.000 0.000 5.758 Pm
0.000 0.000 19.897 Pm
0.000 0.000 3.457 H
0.000 0.000 22.199 H
0.000 0.000 9.385 Au
0.000 0.000 16.270 Au
```

=====

# 5
Compound: PmHAu
Source: Alexandria via LeMat-Bulk
Functional: PBE
Structure: relaxed

- Offset from the most stable computed form: 412 meV/atom

Structure (POSCAR):
```
PmHAu
1.0
3.486 0.000 0.000
0.000 3.486 0.000
0.000 0.000 9.615
Pm H Au
2 2 2
Cartesian
0.000 0.000 0.000 Pm
1.743 1.743 4.808 Pm
0.000 0.000 4.504 H
1.743 1.743 9.312 H
0.000 0.000 6.688 Au
1.743 1.743 1.880 Au
```

=====

# 6
Compound: Pm2HAu
Source: Alexandria via LeMat-Bulk
Functional: PBE
Structure: relaxed

- Offset from the most stable computed form: 14 meV/atom

Structure (POSCAR):
```
Pm2HAu
1.0
3.960 0.000 0.000
-1.980 3.430 0.000
0.000 0.000 20.322
Pm H Au
6 3 3
Cartesian
0.000 0.000 4.807 Pm
0.000 0.000 15.515 Pm
0.000 2.286 8.741 Pm
0.000 2.286 18.356 Pm
1.980 1.143 1.967 Pm
1.980 1.143 11.582 Pm
0.000 0.000 10.161 H
0.000 2.286 3.387 H
1.980 1.143 16.935 H
0.000 0.000 0.000 Au
0.000 2.286 13.548 Au
1.980 1.143 6.774 Au
```

=====

# 7
Compound: PmH2Au
Source: Alexandria via LeMat-Bulk
Functional: PBE
Structure: relaxed

- Offset from the most stable computed form: 0 meV/atom

Structure (POSCAR):
```
PmH2Au
1.0
7.153 0.000 0.000
0.000 4.970 0.000
0.000 0.000 6.330
Pm H Au
4 8 4
Cartesian
1.194 1.242 0.936 Pm
2.383 3.727 4.101 Pm
4.771 1.242 2.229 Pm
5.959 3.727 5.394 Pm
0.814 2.552 5.405 H
0.814 4.903 5.405 H
2.762 0.067 2.240 H
2.762 2.418 2.240 H
4.391 2.552 4.090 H
4.391 4.903 4.090 H
6.339 0.067 0.925 H
6.339 2.418 0.925 H
0.247 1.242 3.947 Au
3.329 3.727 0.782 Au
3.824 1.242 5.548 Au
6.906 3.727 2.383 Au
```

=====

# 8
Compound: Pm6HAu3
Source: Alexandria via LeMat-Bulk
Functional: PBE
Structure: relaxed

- Calculated total energy: -93.04 eV for the cell shown

Structure (POSCAR):
```
Pm6HAu3
1.0
6.580 0.000 0.000
0.000 7.843 0.000
-6.297 0.000 10.387
Pm H Au
12 2 6
Cartesian
-2.223 1.643 4.489 Pm
-5.371 2.278 9.683 Pm
-0.953 5.118 4.612 Pm
-4.101 6.647 9.806 Pm
1.167 0.426 2.475 Pm
-1.981 3.495 7.669 Pm
2.264 4.348 2.718 Pm
-0.884 7.417 7.912 Pm
4.384 1.196 0.581 Pm
1.236 2.725 5.775 Pm
5.654 5.565 0.704 Pm
2.506 6.200 5.898 Pm
0.000 0.000 0.000 H
-3.148 3.921 5.194 H
-3.602 0.881 7.534 Au
-0.454 3.040 2.340 Au
0.142 0.000 5.194 Au
3.290 3.921 0.000 Au
0.737 4.803 8.047 Au
3.885 6.962 2.854 Au
```

=====

# 9
Compound: PmH7Ru2Au
Source: Alexandria via LeMat-Bulk
Functional: PBE
Structure: relaxed

- Calculated total energy: -51.41 eV for the cell shown

Structure (POSCAR):
```
PmH7Ru2Au
1.0
-1.820 1.820 8.170
1.820 -1.820 8.170
1.820 1.820 -8.170
Pm H Ru Au
1 7 2 1
Cartesian
0.000 0.000 0.000 Pm
1.820 0.000 1.795 H
0.000 0.000 4.650 H
1.820 0.000 6.375 H
0.000 0.000 8.170 H
0.000 1.820 1.654 H
0.000 0.000 11.690 H
0.000 1.820 6.515 H
0.000 0.000 6.400 Ru
0.000 0.000 9.939 Ru
0.000 1.820 4.085 Au
```

=====

# 10
Compound: PmSbHAu
Source: Alexandria via LeMat-Bulk
Functional: PBE
Structure: relaxed

- Calculated total energy: -18.00 eV for the cell shown

Structure (POSCAR):
```
PmSbHAu
1.0
4.522 0.000 0.000
-2.261 3.916 0.000
0.000 0.000 4.573
Pm Sb H Au
1 1 1 1
Cartesian
0.000 0.000 0.000 Pm
2.261 1.305 2.632 Sb
0.000 2.611 0.018 H
0.000 2.611 1.766 Au
```

=====

# 11
Compound: Pr2H2Au3
Source: Alexandria via LeMat-Bulk
Functional: PBE
Structure: relaxed

- Calculated total energy: -60.65 eV for the cell shown

Structure (POSCAR):
```
Pr2H2Au3
1.0
9.680 0.000 0.000
0.000 3.992 0.000
-2.619 0.000 6.984
Pr H Au
4 4 6
Cartesian
0.669 0.000 1.909 Pr
1.552 1.996 5.075 Pr
5.509 1.996 1.909 Pr
6.392 0.000 5.075 Pr
1.340 1.996 2.810 H
0.881 0.000 4.174 H
6.180 0.000 2.810 H
5.722 1.996 4.174 H
-1.309 1.996 3.492 Au
-1.208 1.996 6.497 Au
3.430 0.000 0.487 Au
3.531 0.000 3.492 Au
3.632 0.000 6.497 Au
8.270 1.996 0.487 Au
```

=====

# 12
Compound: Pr3H12Au5
Source: Alexandria via LeMat-Bulk
Functional: PBE
Structure: relaxed

- Calculated total energy: -295.01 eV for the cell shown

Structure (POSCAR):
```
Pr3H12Au5
1.0
-6.281 6.281 6.281
6.281 -6.281 6.281
6.281 6.281 -6.281
Pr H Au
12 48 20
Cartesian
3.141 1.570 0.000 Pr
6.281 3.141 -1.570 Pr
1.570 0.000 3.141 Pr
7.852 0.000 3.141 Pr
0.000 3.141 1.570 Pr
3.141 -1.570 6.281 Pr
3.141 7.852 0.000 Pr
6.281 3.141 4.711 Pr
-1.570 6.281 3.141 Pr
4.711 6.281 3.141 Pr
0.000 3.141 7.852 Pr
3.141 4.711 6.281 Pr
1.882 -0.377 0.639 H
7.540 3.780 -3.518 H
8.163 0.377 0.639 H
7.540 -2.501 3.518 H
5.904 -0.639 1.882 H
9.799 -1.259 2.501 H
0.639 1.882 -0.377 H
8.783 2.764 -1.259 H
3.780 3.518 -1.259 H
5.642 1.882 0.377 H
-0.377 0.639 1.882 H
3.518 -1.259 3.780 H
5.904 5.642 -1.882 H
3.518 1.259 2.501 H
3.780 -3.518 7.540 H
5.642 -1.882 5.904 H
2.501 3.518 1.259 H
6.921 4.399 0.377 H
3.518 7.540 -2.501 H
5.904 0.639 4.399 H
1.882 5.904 -0.639 H
7.540 2.501 2.764 H
1.259 2.501 3.518 H
1.882 0.377 5.642 H
4.399 5.904 0.639 H
5.023 3.780 2.764 H
-1.259 3.780 3.518 H
4.399 0.377 6.921 H
0.377 5.642 1.882 H
2.764 -1.259 8.783 H
-0.639 1.882 5.904 H
3.780 2.764 5.023 H
0.639 8.163 0.377 H
2.501 9.799 -1.259 H
2.764 5.023 3.780 H
0.377 0.639 8.163 H
2.764 7.540 2.501 H
6.658 5.642 4.399 H
0.639 4.399 5.904 H
2.501 2.764 7.540 H
-2.501 3.518 7.540 H
5.642 4.399 6.658 H
-3.518 7.540 3.780 H
0.377 6.921 4.399 H
-1.259 8.783 2.764 H
-1.882 5.904 5.642 H
-1.259 2.501 9.799 H
4.399 6.658 5.642 H
0.000 0.000 0.000 Au
3.141 3.141 -3.141 Au
3.141 -3.141 3.141 Au
6.281 0.000 0.000 Au
9.422 1.570 0.000 Au
6.281 -3.141 4.711 Au
4.711 6.281 -3.141 Au
4.711 0.000 3.141 Au
3.141 4.711 0.000 Au
6.281 3.141 1.570 Au
-3.141 3.141 3.141 Au
0.000 6.281 0.000 Au
0.000 0.000 6.281 Au
3.141 3.141 3.141 Au
0.000 3.141 4.711 Au
3.141 1.570 6.281 Au
1.570 6.281 3.141 Au
1.570 0.000 9.422 Au
0.000 9.422 1.570 Au
-3.141 4.711 6.281 Au
```